Entry 1:
Density functional theory data (GGA-PBE) for crystalline Ca2HoNi9 at its relaxed geometry.

Output
E_form (eV per atom): -0.257
Total magnetic moment (μB per formula unit): 2.2

abc: 4.963 4.963 8.630
angles: 73.29 73.29 60.00
Last column: magnetic moment on the atom in μB.
Positions (direct):
Ni: 0.333 0.333 0.002  0.31
Ni: 0.421 0.918 0.241  0.29
Ni: 0.579 0.082 0.759  0.29
Ni: 0.918 0.421 0.241  0.29
Ni: 0.667 0.667 0.998  0.31
Ni: 0.082 0.579 0.759  0.29
Ni: 0.421 0.421 0.241  0.29
Ni: 0.500 0.500 0.500  0.17
Ni: 0.579 0.579 0.759  0.29
Ca: 0.141 0.141 0.577  -0.02
Ca: 0.859 0.859 0.423  -0.02
Ho: 0.000 0.000 0.000  -0.07

Entry 2:
Density functional theory data (GGA-PBE) for crystalline CaHo2Ni at its relaxed geometry.

Output
E_form (eV per atom): -0.008
Total magnetic moment (μB per formula unit): 0.0

abc: 3.843 3.843 10.431
angles: 79.39 79.39 60.00
Positions (direct):
Ni: 0.500 0.500 0.500
Ho: 0.119 0.119 0.644
Ho: 0.881 0.881 0.356
Ca: 0.000 0.000 0.000

Entry 3:
Density functional theory data (GGA-PBE) for crystalline CaHo2Ni at its relaxed geometry.

Output
E_form (eV per atom): -0.154
Total magnetic moment (μB per formula unit): 0.0

abc: 3.429 3.429 9.305
angles: 90.00 90.00 90.00
Positions (direct):
Ca: 0.500 0.500 0.500
Ho: 0.000 0.000 0.829
Ho: 0.000 0.000 0.171
Ni: 0.500 0.500 0.000

Entry 4:
Density functional theory data (GGA-PBE) for crystalline CaHoNi10 at its relaxed geometry.

Output
E_form (eV per atom): -0.221
Total magnetic moment (μB per formula unit): 3.4

abc: 3.949 4.901 8.467
angles: 90.00 90.00 90.00
Last column: magnetic moment on the atom in μB.
Positions (direct):
Ni: 0.000 0.500 0.831  0.35
Ni: 0.500 0.000 0.500  0.38
Ni: 0.500 0.500 0.000  0.42
Ni: 0.500 0.253 0.254  0.42
Ni: 0.000 0.500 0.169  0.35
Ni: 0.500 0.747 0.254  0.42
Ni: 0.000 0.000 0.664  0.30
Ni: 0.500 0.747 0.746  0.42
Ni: 0.000 0.000 0.336  0.30
Ni: 0.500 0.253 0.746  0.42
Ca: 0.000 0.000 0.000  -0.03
Ho: 0.000 0.500 0.500  -0.10

Entry 5:
Density functional theory data (GGA-PBE) for crystalline CaHo3Ni8 at its relaxed geometry.

Output
E_form (eV per atom): -0.398
Total magnetic moment (μB per formula unit): 0.0

abc: 5.057 5.057 8.766
angles: 73.23 73.23 60.00
Positions (direct):
Ho: 0.502 0.502 0.495
Ho: 0.376 0.376 0.872
Ho: 0.998 0.998 0.005
Ni: 0.938 0.938 0.691
Ni: 0.433 0.938 0.691
Ni: 0.941 0.438 0.184
Ni: 0.938 0.433 0.691
Ni: 0.188 0.188 0.437
Ni: 0.438 0.438 0.184
Ni: 0.438 0.941 0.184
Ni: 0.688 0.688 0.937
Ca: 0.874 0.874 0.378

Entry 6:
Density functional theory data (GGA-PBE) for crystalline CaHo3Ni at its relaxed geometry.

Output
E_form (eV per atom): -0.064
Total magnetic moment (μB per formula unit): 0.0

abc: 5.350 5.350 5.350
angles: 90.00 90.00 90.00
Positions (direct):
Ca: 0.500 0.500 0.500
Ho: 0.000 0.000 0.500
Ho: 0.000 0.500 0.000
Ho: 0.500 0.000 0.000
Ni: 0.000 0.000 0.000

Entry 7:
Density functional theory data (GGA-PBE) for crystalline CaHo2Ni9 at its relaxed geometry.

Output
E_form (eV per atom): -0.329
Total magnetic moment (μB per formula unit): 1.9

abc: 4.988 4.988 8.540
angles: 73.02 73.02 60.00
Last column: magnetic moment on the atom in μB.
Positions (direct):
Ni: 0.081 0.583 0.752  0.23
Ni: 0.417 0.919 0.248  0.23
Ni: 0.919 0.417 0.248  0.23
Ni: 0.333 0.333 0.002  0.35
Ni: 0.500 0.500 0.500  0.13
Ni: 0.583 0.583 0.752  0.23
Ni: 0.417 0.417 0.248  0.23
Ni: 0.667 0.667 0.998  0.35
Ni: 0.583 0.081 0.752  0.23
Ho: 0.138 0.138 0.585  -0.07
Ho: 0.862 0.862 0.415  -0.07
Ca: 0.000 0.000 0.000  -0.01

Entry 8:
Density functional theory data (GGA-PBE) for crystalline CaHoNi2P2 at its relaxed geometry.

Output
E_form (eV per atom): -1.090
Total magnetic moment (μB per formula unit): 0.0

abc: 3.883 3.883 7.976
angles: 90.00 90.00 120.00
Positions (direct):
Ho: 0.000 0.000 0.500
Ni: 0.333 0.667 0.738
Ni: 0.667 0.333 0.262
Ca: 0.000 0.000 0.000
P: 0.667 0.333 0.740
P: 0.333 0.667 0.260